# TbZrCr2O6

TbZrCr2O6 after structural relaxation (GGA+U, the Alexandria database).

Computed properties:
- VASP energy (eV per cell) = -84.51
- magnetic moment (μB per atom) = 0.700

Cell lengths 5.358, 5.458, 5.695 Å; angles 63.15, 89.93, 61.00 degrees
Space group P1 (No. 1)
Symmetry-distinct sites (fractional):
Tb  0.000  0.000  0.000 x1
Zr  0.518  0.972  0.535 x1
Cr  0.219  0.567  0.633 x1
Cr  0.725  0.549  0.158 x1
O  0.142  0.023  0.373 x1
O  0.331  0.103  0.826 x1
O  0.437  0.443  0.365 x1
O  0.579  0.491  0.847 x1
O  0.832  0.741  0.362 x1
O  0.933  0.719  0.847 x1